(1)
Below is K3Zn2Ag5 after structural relaxation, with properties calculated at the PBE-GGA level.

Values from the calculation:
V, Å³ per atom: 29.0
E_tot, eV/atom: -1.97
Mass density, g/cm³: 4.5
Space group: C2/c (15)
D(E_F), states/eV per atom: 0.326

Lattice parameters (Å, degrees): 15.351 15.351 5.622 98.16 98.16 148.96
Sites, in units of the cell vectors:
K: 0.013 0.987 0.750
K: 0.091 0.469 0.803
K: 0.469 0.091 0.303
K: 0.531 0.909 0.697
K: 0.909 0.531 0.197
K: 0.987 0.013 0.250
Zn: 0.231 0.419 0.258
Zn: 0.419 0.231 0.758
Zn: 0.581 0.769 0.242
Zn: 0.769 0.581 0.742
Ag: 0.100 0.900 0.250
Ag: 0.118 0.882 0.750
Ag: 0.261 0.415 0.769
Ag: 0.415 0.261 0.269
Ag: 0.488 0.512 0.250
Ag: 0.512 0.488 0.750
Ag: 0.585 0.739 0.731
Ag: 0.739 0.585 0.231
Ag: 0.882 0.118 0.250
Ag: 0.900 0.100 0.750

(2)
Below is Cu3MoRu after structural relaxation, with properties calculated at the PBE-GGA level.

Values from the calculation:
V, Å³ per atom: 18.8
E_tot, eV/atom: -4.84
Mass density, g/cm³: 6.8
Space group: Pm-3m (221)
D(E_F), states/eV per atom: 0.880

Lattice parameters (Å, degrees): 4.549 4.549 4.549 90.00 90.00 90.00
Sites, in units of the cell vectors:
Cu: 0.000 0.000 0.500
Cu: 0.000 0.500 0.000
Cu: 0.500 0.000 0.000
Mo: 0.500 0.500 0.500
Ru: 0.000 0.000 0.000

(3)
Below is Tl2TePd3 after structural relaxation, with properties calculated at the PBE-GGA level.

Values from the calculation:
V, Å³ per atom: 21.2
E_tot, eV/atom: -4.08
Mass density, g/cm³: 11.2
Space group: C2/c (15)
D(E_F), states/eV per atom: 0.394

Lattice parameters (Å, degrees): 7.311 7.311 6.765 97.75 97.75 45.41
Sites, in units of the cell vectors:
Tl: 0.072 0.303 0.140
Tl: 0.303 0.072 0.640
Tl: 0.697 0.928 0.360
Tl: 0.928 0.697 0.860
Te: 0.436 0.564 0.250
Te: 0.564 0.436 0.750
Pd: 0.031 0.969 0.750
Pd: 0.205 0.499 0.499
Pd: 0.499 0.205 0.999
Pd: 0.501 0.795 0.001
Pd: 0.795 0.501 0.501
Pd: 0.969 0.031 0.250